AcTb2Sm6Y3, optimized geometry, DFT GGA-PBE; density of states at the Fermi level = 16.50 states/eV/f.u.; calculated formation energy = 0.027 eV per atom; symmetry = No. 12; total moment = 0.00 μB per cell; energy = -5.0631 eV/atom; crystal system = monoclinic
1.0
-0.2328 -4.3335 4.5613
-2.3252 -1.3068 -5.7030
11.4437 -2.2435 -2.9944
Sm Ac Y Tb
6 1 3 2
Direct
0.2516 0.2516 0.7459
0.4209 0.0846 0.2538
0.7484 0.7484 0.2541
0.9154 0.5791 0.7462
0.5791 0.9154 0.7462
0.0846 0.4209 0.2538
0.0000 0.0000 0.0000
0.1672 0.8328 0.5000
0.5000 0.5000 0.5000
0.8328 0.1672 0.5000
0.6666 0.3334 0.0000
0.3334 0.6666 0.0000

=====

Er2ScAu2, optimized geometry, DFT GGA-PBE; density of states at the Fermi level = 7.44 states/eV/f.u.; excess energy over the best structure of this formula in the dataset = 0 meV per atom; calculated formation energy = -0.698 eV per atom; symmetry = No. 127; total moment = 0.00 μB per cell; energy = -5.0999 eV/atom; crystal system = tetragonal
1.0
3.6864 0.0000 0.0000
0.0000 8.0214 0.0000
0.0000 0.0000 8.0214
Au Sc Er
4 2 4
Direct
0.5000 0.6357 0.6357
0.5000 0.3643 0.3643
0.5000 0.8643 0.1357
0.5000 0.1357 0.8643
0.5000 0.5000 0.0000
0.5000 0.0000 0.5000
0.0000 0.3358 0.6642
0.0000 0.6642 0.3358
0.0000 0.1642 0.1642
0.0000 0.8358 0.8358

=====

MgTe2O, optimized geometry, DFT GGA-PBE; density of states at the Fermi level = 1.76 states/eV/f.u.; excess energy over the best structure of this formula in the dataset = 0 meV per atom; symmetry = No. 166; total moment = 0.00 μB per cell; energy = -3.5288 eV/atom; crystal system = trigonal
1.0
2.6242 0.0000 6.7209
-1.3121 2.2726 6.7209
-1.3121 -2.2726 6.7209
O Te Mg
1 2 1
Direct
0.0000 0.0000 0.0000
0.0991 0.0991 0.0991
0.9009 0.9009 0.9009
0.5000 0.5000 0.5000